Entry 1:
# InOsBr2 (PBE, optimized geometry)
data_InOsBr2
_chemical_formula_sum 'In1 Os1 Br2'
_space_group_name_H-M_alt 'P 1'
_space_group_IT_number 1
_space_group_name_Hall 'P 1'
_cell_length_a 5.298
_cell_length_b 5.298
_cell_length_c 7.039
_cell_angle_alpha 67.68
_cell_angle_beta 67.68
_cell_angle_gamma 40.45
loop_
_atom_site_label
_atom_site_fract_x
_atom_site_fract_y
_atom_site_fract_z
Os1 0.703 0.703 0.625
Br1 0.106 0.106 0.899
Br2 0.263 0.263 0.351
In1 0.427 0.427 0.625
# Formation energy (no corrections) in eV per formula unit: 0.90
# Calculated density in g/cm³: 6.58
# E above lowest polymorph in meV/atom: 43.8
# Size of the total moment in μB/atom: 0.078


Entry 2:
# Ca4Hg2Ge (PBE, optimized geometry)
data_Ca4Hg2Ge
_chemical_formula_sum 'Ca4 Hg2 Ge1'
_space_group_name_H-M_alt 'P 1'
_space_group_IT_number 1
_space_group_name_Hall 'P 1'
_cell_length_a 5.236
_cell_length_b 5.236
_cell_length_c 9.323
_cell_angle_alpha 73.69
_cell_angle_beta 73.69
_cell_angle_gamma 60.00
loop_
_atom_site_label
_atom_site_fract_x
_atom_site_fract_y
_atom_site_fract_z
Ca1 0.878 0.878 0.366
Ca2 0.122 0.122 0.634
Ca3 0.629 0.629 0.114
Ca4 0.371 0.371 0.886
Ge1 0.000 0.000 0.000
Hg1 0.754 0.754 0.739
Hg2 0.246 0.246 0.261
# Calculated density in g/cm³: 5.03
# ΔH_f (0 K) in eV per atom: -0.453
# Size of the total moment in μB/atom: 0.000


Entry 3:
# Pr2Ni4SnP3 (PBE, optimized geometry)
data_Pr2Ni4SnP3
_chemical_formula_sum 'Pr2 Ni4 Sn1 P3'
_space_group_name_H-M_alt 'P 1'
_space_group_IT_number 1
_space_group_name_Hall 'P 1'
_cell_length_a 4.070
_cell_length_b 4.070
_cell_length_c 9.903
_cell_angle_alpha 90.00
_cell_angle_beta 90.00
_cell_angle_gamma 90.00
loop_
_atom_site_label
_atom_site_fract_x
_atom_site_fract_y
_atom_site_fract_z
Pr1 0.500 0.000 0.232
Pr2 0.000 0.500 0.768
Ni1 0.500 0.500 0.000
Ni2 0.000 0.000 0.000
Ni3 0.500 0.000 0.646
Ni4 0.000 0.500 0.354
Sn1 0.500 0.500 0.500
P1 0.000 0.000 0.500
P2 0.500 0.000 0.878
P3 0.000 0.500 0.122
# Calculated density in g/cm³: 7.37
# ΔH_f (0 K) in eV per atom: -0.812
# Size of the total moment in μB/atom: 0.000